Record 1
Compound: Ag6PdAu
Source: the Alexandria database
Functional: GGA-PBE
Structure: optimized geometry

Summary:
formation energy = -0.1 eV per formula unit

Cell lengths 4.787, 5.829, 10.083 Å; angles 90.00, 90.00, 90.00 degrees
Space group Amm2 (No. 38)
Inequivalent atoms, fractional coordinates:
Ag (0.000, 0.000, 0.000) [2 per cell]
Ag (0.000, 0.247, 0.753) [4 per cell]
Ag (0.500, 0.000, 0.334) [2 per cell]
Ag (0.500, 0.250, 0.085) [4 per cell]
Pd (0.500, 0.000, 0.835) [2 per cell]
Au (0.000, 0.000, 0.502) [2 per cell]

Record 2
Compound: NaGa2FeW
Source: the Alexandria database
Functional: GGA-PBE
Structure: optimized geometry

Summary:
formation energy = 9.4 eV per formula unit

Cell lengths 4.457, 4.457, 4.450 Å; angles 90.00, 90.00, 90.00 degrees
Space group P4/mmm (No. 123)
Inequivalent atoms, fractional coordinates:
Na (0.000, 0.000, 0.000) [1 per cell]
Ga (0.000, 0.500, 0.000) [2 per cell]
Fe (0.000, 0.000, 0.500) [1 per cell]
W (0.500, 0.500, 0.500) [1 per cell]

Record 3
Compound: NaCa2ZnF8
Source: the Alexandria database
Functional: GGA-PBE
Structure: optimized geometry

Summary:
uncorrected formation energy = -2.953 eV per atom

Cell lengths 4.046, 7.610, 5.257 Å; angles 90.00, 96.78, 90.00 degrees
Space group P2/m (No. 10)
Inequivalent atoms, fractional coordinates:
Na (0.000, 0.000, 0.000) [1 per cell]
Ca (0.500, 0.255, 0.500) [2 per cell]
Zn (0.000, 0.500, 0.000) [1 per cell]
F (0.048, 0.281, 0.756) [4 per cell]
F (0.427, 0.500, 0.233) [2 per cell]
F (0.489, 0.000, 0.259) [2 per cell]

Record 4
Compound: Na2Li5Tl2In
Source: the Alexandria database
Functional: GGA-PBE
Structure: optimized geometry

Summary:
formation energy = -1.4 eV per formula unit

Cell lengths 11.601, 11.601, 3.518 Å; angles 90.00, 90.00, 90.00 degrees
Space group P4/mbm (No. 127)
Inequivalent atoms, fractional coordinates:
Na (0.171, 0.329, 0.000) [4 per cell]
Li (0.000, 0.500, 0.500) [2 per cell]
Li (0.058, 0.812, 0.500) [8 per cell]
Tl (0.131, 0.631, 0.000) [4 per cell]
In (0.000, 0.000, 0.000) [2 per cell]

Record 5
Compound: AlIn
Source: the Alexandria database
Functional: GGA-PBE
Structure: optimized geometry

Summary:
formation energy = 0.4 eV per formula unit

Cell lengths 4.497, 4.497, 8.744 Å; angles 90.00, 90.00, 90.00 degrees
Space group I4_1/amd (No. 141, origin choice 2)
Inequivalent atoms, fractional coordinates:
Al (0.000, 0.250, 0.375) [4 per cell]
In (0.000, 0.250, 0.875) [4 per cell]

Record 6
Compound: La4Er3Tm2
Source: the Alexandria database
Functional: GGA-PBE
Structure: optimized geometry

Summary:
formation energy = 0.6 eV per formula unit

Cell lengths 17.523, 3.540, 9.856 Å; angles 90.00, 101.11, 90.00 degrees
Space group C2/m (No. 12)
Inequivalent atoms, fractional coordinates:
La (0.003, 0.000, 0.330) [4 per cell]
La (0.160, 0.000, 0.219) [4 per cell]
Er (0.000, 0.500, 0.000) [2 per cell]
Er (0.166, 0.500, 0.554) [4 per cell]
Tm (0.177, 0.000, 0.881) [4 per cell]

Record 7
Compound: TlCdIn
Source: the Alexandria database
Functional: GGA-PBE
Structure: optimized geometry

Summary:
formation energy = 0.1 eV per formula unit

Cell lengths 5.008, 5.028, 6.954 Å; angles 90.00, 110.75, 90.00 degrees
Space group P2_1/m (No. 11)
Inequivalent atoms, fractional coordinates:
Tl (0.087, 0.250, 0.176) [2 per cell]
Cd (0.251, 0.750, 0.499) [2 per cell]
In (0.408, 0.250, 0.817) [2 per cell]